# CrBiS2, relaxed, DFT PBE-GGA
data_CrBiS2
_chemical_formula_sum 'Cr1 Bi1 S2'
_symmetry_space_group_name_H-M 'P 1'
_symmetry_Int_Tables_number 1
_symmetry_space_group_name_Hall 'P 1'
_cell_length_a 3.5108
_cell_length_b 3.5108
_cell_length_c 8.0224
_cell_angle_alpha 90.00
_cell_angle_beta 90.00
_cell_angle_gamma 120.00
loop_
_atom_site_label
_atom_site_type_symbol
_atom_site_fract_x
_atom_site_fract_y
_atom_site_fract_z
Cr1 Cr 0.0000 0.0000 0.0000
Bi1 Bi 0.3333 0.6667 0.5058
S1 S 0.3333 0.6667 0.8393
S2 S 0.6667 0.3333 0.1597
# Magnetization: 2.99 μB per formula unit
# Raw total energy: -5.93 eV per atom
# Uncorrected formation energy: -0.4921 eV/atom

---

# CrBiS2, relaxed, DFT PBE-GGA
data_CrBiS2
_chemical_formula_sum 'Cr2 Bi2 S4'
_symmetry_space_group_name_H-M 'P 1'
_symmetry_Int_Tables_number 1
_symmetry_space_group_name_Hall 'P 1'
_cell_length_a 3.3417
_cell_length_b 7.3440
_cell_length_c 7.6730
_cell_angle_alpha 83.43
_cell_angle_beta 87.80
_cell_angle_gamma 87.09
loop_
_atom_site_label
_atom_site_type_symbol
_atom_site_fract_x
_atom_site_fract_y
_atom_site_fract_z
Cr1 Cr 0.2448 0.1169 0.3925
Cr2 Cr 0.7552 0.8831 0.6075
Bi1 Bi 0.1129 0.7078 0.9622
Bi2 Bi 0.8871 0.2922 0.0378
S1 S 0.2278 0.0794 0.6834
S2 S 0.2703 0.6541 0.6380
S3 S 0.7297 0.3459 0.3620
S4 S 0.7722 0.9206 0.3166
# Magnetization: 1.38 μB per formula unit
# Raw total energy: -5.81 eV per atom
# Uncorrected formation energy: -0.3724 eV/atom

---

# Cr3BiS, relaxed, DFT PBE-GGA
data_Cr3BiS
_chemical_formula_sum 'Cr3 Bi1 S1'
_symmetry_space_group_name_H-M 'P 1'
_symmetry_Int_Tables_number 1
_symmetry_space_group_name_Hall 'P 1'
_cell_length_a 5.2472
_cell_length_b 5.2472
_cell_length_c 5.2472
_cell_angle_alpha 90.00
_cell_angle_beta 90.00
_cell_angle_gamma 90.00
loop_
_atom_site_label
_atom_site_type_symbol
_atom_site_fract_x
_atom_site_fract_y
_atom_site_fract_z
Cr1 Cr 0.0000 0.0000 0.5000
Cr2 Cr 0.0000 0.5000 0.0000
Cr3 Cr 0.5000 0.0000 0.0000
Bi1 Bi 0.0000 0.0000 0.0000
S1 S 0.5000 0.5000 0.5000
# Magnetization: 13.00 μB per formula unit
# Energy relative to the lowest polymorph listed for this composition: 859 meV per atom
# Raw total energy: -6.02 eV per atom
# Uncorrected formation energy: 1.3545 eV/atom

---

# CrBiS2, relaxed, DFT PBE-GGA
data_CrBiS2
_chemical_formula_sum 'Cr1 Bi1 S2'
_symmetry_space_group_name_H-M 'P 1'
_symmetry_Int_Tables_number 1
_symmetry_space_group_name_Hall 'P 1'
_cell_length_a 8.0841
_cell_length_b 8.0841
_cell_length_c 8.0841
_cell_angle_alpha 29.43
_cell_angle_beta 29.43
_cell_angle_gamma 29.43
loop_
_atom_site_label
_atom_site_type_symbol
_atom_site_fract_x
_atom_site_fract_y
_atom_site_fract_z
Cr1 Cr 0.0000 0.0000 0.0000
Bi1 Bi 0.5000 0.5000 0.5000
S1 S 0.1002 0.1002 0.1002
S2 S 0.8998 0.8998 0.8998
# Magnetization: 4.98 μB per formula unit
# Raw total energy: -5.41 eV per atom
# Uncorrected formation energy: 0.0298 eV/atom

---

# CrBi3S, relaxed, DFT PBE-GGA
data_CrBi3S
_chemical_formula_sum 'Cr1 Bi3 S1'
_symmetry_space_group_name_H-M 'P 1'
_symmetry_Int_Tables_number 1
_symmetry_space_group_name_Hall 'P 1'
_cell_length_a 5.1011
_cell_length_b 5.1011
_cell_length_c 5.1011
_cell_angle_alpha 90.00
_cell_angle_beta 90.00
_cell_angle_gamma 90.00
loop_
_atom_site_label
_atom_site_type_symbol
_atom_site_fract_x
_atom_site_fract_y
_atom_site_fract_z
Cr1 Cr 0.0000 0.0000 0.0000
Bi1 Bi 0.0000 0.0000 0.5000
Bi2 Bi 0.0000 0.5000 0.0000
Bi3 Bi 0.5000 0.0000 0.0000
S1 S 0.5000 0.5000 0.5000
# Magnetization: 0.00 μB per formula unit
# Energy relative to the lowest polymorph listed for this composition: 0 meV per atom
# Raw total energy: -4.63 eV per atom
# Uncorrected formation energy: 0.4508 eV/atom

---

# CrBiS2, relaxed, DFT PBE-GGA
data_CrBiS2
_chemical_formula_sum 'Cr1 Bi1 S2'
_symmetry_space_group_name_H-M 'P 1'
_symmetry_Int_Tables_number 1
_symmetry_space_group_name_Hall 'P 1'
_cell_length_a 3.5356
_cell_length_b 3.5356
_cell_length_c 8.1020
_cell_angle_alpha 104.20
_cell_angle_beta 104.20
_cell_angle_gamma 58.13
loop_
_atom_site_label
_atom_site_type_symbol
_atom_site_fract_x
_atom_site_fract_y
_atom_site_fract_z
Cr1 Cr 0.0000 0.0000 0.0000
Bi1 Bi 0.0000 0.0000 0.5000
S1 S 0.3876 0.3876 0.1678
S2 S 0.6124 0.6124 0.8322
# Magnetization: 3.05 μB per formula unit
# Raw total energy: -5.85 eV per atom
# Uncorrected formation energy: -0.4140 eV/atom

---

- The lowest magnetization belongs to which entry?
  CrBi3S

---

- Among the records above, which one has the highest uncorrected formation energy?
  Cr3BiS